Record 1
## Fe4Co (PBE)

Data for Fe4Co after structural relaxation.

Properties
The total DFT energy (no corrections) comes out at -35.36 eV per cell. The value obtained for the excess energy over the best structure of this formula in the dataset is 1.154 eV per atom. As for the space-group type: Pm-3m, No. 221. The total magnetization comes out at 13.24 μB per formula unit. The energy relative to the elements comes out at 1120 meV per atom.

abc: 4.2737 4.2737 4.2737
angles: 90.00 90.00 90.00
Closest atoms and distances in Å follow each position.
Atoms (fractional coordinates):
Fe: 0.5000 0.0000 0.5000  2 Co 2.14
Fe: 0.0000 0.5000 0.5000  2 Co 2.14
Fe: 0.0000 0.0000 0.0000  12 Fe 3.02
Fe: 0.5000 0.5000 0.0000  2 Co 2.14
Co: 0.5000 0.5000 0.5000  6 Fe 2.14



Record 2
## Ba2Tl2Se (PBE)

Data for Ba2Tl2Se after structural relaxation.

Properties
The total DFT energy (no corrections) comes out at -30.48 eV per cell. The value obtained for the formation energy without anion corrections is -636 meV/atom. As for the space-group type: P4/mbm, No. 127. The total magnetization comes out at 0.00 μB per formula unit.

abc: 8.6821 8.6821 5.8185
angles: 90.00 90.00 90.00
Closest atoms and distances in Å follow each position.
Atoms (fractional coordinates):
Tl: 0.6229 0.8771 0.5000  1 Tl 3.02
Tl: 0.1229 0.6229 0.5000  1 Tl 3.02
Tl: 0.8771 0.3771 0.5000  1 Tl 3.02
Tl: 0.3771 0.1229 0.5000  1 Tl 3.02
Se: 0.0000 0.0000 0.0000  4 Ba 3.17
Se: 0.5000 0.5000 0.0000  4 Ba 3.17
Ba: 0.3133 0.8133 0.0000  2 Se 3.17
Ba: 0.6867 0.1867 0.0000  2 Se 3.17
Ba: 0.8133 0.6867 0.0000  2 Se 3.17
Ba: 0.1867 0.3133 0.0000  2 Se 3.17



Record 3
## LaCrPb (PBE)

Data for LaCrPb after structural relaxation.

Properties
The total DFT energy (no corrections) comes out at -16.58 eV per cell. As for the space-group type: F-43m, No. 216. The total magnetization comes out at 4.64 μB per formula unit. The energy relative to the elements comes out at 560 meV per atom.

abc: 5.2122 5.2122 5.2122
angles: 60.00 60.00 60.00
Closest atoms and distances in Å follow each position.
Atoms (fractional coordinates):
La: 0.2500 0.2500 0.2500  4 Pb 3.19, 4 Cr 3.19
Cr: 0.5000 0.5000 0.5000  4 La 3.19
Pb: 0.0000 0.0000 0.0000  4 La 3.19



Record 4
## CsLaZn2 (PBE)

Data for CsLaZn2 after structural relaxation.

Properties
The total DFT energy (no corrections) comes out at -7.25 eV per cell. The value obtained for the excess energy over the best structure of this formula in the dataset is 0.000 eV per atom. As for the space-group type: Fm-3m, No. 225. The total magnetization comes out at 0.00 μB per formula unit. The energy relative to the elements comes out at 270 meV per atom.

abc: 5.6641 5.6641 5.6641
angles: 60.00 60.00 60.00
Closest atoms and distances in Å follow each position.
Atoms (fractional coordinates):
La: 0.5000 0.5000 0.5000  8 Zn 3.47
Zn: 0.2500 0.2500 0.2500  4 La 3.47, 4 Cs 3.47
Zn: 0.7500 0.7500 0.7500  4 La 3.47, 4 Cs 3.47
Cs: 0.0000 0.0000 0.0000  8 Zn 3.47